A relaxed structure of Zr2Ag2Pd, computed with PBE-GGA.

Properties
Calculated total energy (eV/f.u.): -28.0
Symmetry: P4/mbm (127)
Energy relative to the elements (kJ/mol of atoms): -0.7
D(E_F) (states/eV/atom): 0.859

Lattice parameters (Å, degrees): 7.323 7.323 3.705 90.00 90.00 90.00
Atoms (fractional coordinates):
Pd1 0.500 0.500 0.000
Pd2 0.000 0.000 0.000
Zr1 0.827 0.327 0.500
Zr2 0.673 0.827 0.500
Zr3 0.173 0.673 0.500
Zr4 0.327 0.173 0.500
Ag1 0.630 0.130 0.000
Ag2 0.870 0.630 0.000
Ag3 0.370 0.870 0.000
Ag4 0.130 0.370 0.000